No. 1
Density functional theory data (PBE-GGA) for crystalline RbCaBi2 at its relaxed geometry.

abc: 4.366 4.366 8.062
angles: 90.00 90.00 90.00
Sites, in units of the cell vectors:
Rb  0.000  0.000  0.000
Ca  0.000  0.000  0.500
Bi  0.500  0.500  0.314
Bi  0.500  0.500  0.686

Output
**Space group**: P4/mmm
**Energy of formation**: -542 meV per atom

***

No. 2
Density functional theory data (PBE-GGA) for crystalline RbCaBi at its relaxed geometry.

abc: 7.489 7.489 7.489
angles: 145.15 145.15 50.10
Sites, in units of the cell vectors:
Rb  0.000  0.000  0.000
Ca  0.260  0.260  0.000
Bi  0.714  0.714  0.000

Output
**Space group**: I4mm
**Energy of formation**: -438 meV per atom

***

No. 3
Density functional theory data (PBE-GGA) for crystalline RbCaBi3 at its relaxed geometry.

abc: 5.990 5.990 5.990
angles: 90.00 90.00 90.00
Sites, in units of the cell vectors:
Rb  0.000  0.000  0.000
Ca  0.500  0.500  0.500
Bi  0.000  0.500  0.500
Bi  0.500  0.000  0.500
Bi  0.500  0.500  0.000

Output
**Space group**: Pm-3m
**Energy of formation**: 22 meV per atom

***

No. 4
Density functional theory data (PBE-GGA) for crystalline Rb3CaBi2S6 at its relaxed geometry.

abc: 7.218 7.218 8.090
angles: 98.56 98.56 120.00
Sites, in units of the cell vectors:
Rb  0.000  0.000  0.000
Rb  0.334  0.666  0.000
Rb  0.666  0.334  0.000
Ca  0.500  0.500  0.500
Bi  0.167  0.833  0.500
Bi  0.833  0.167  0.500
S  0.096  0.434  0.302
S  0.228  0.228  0.697
S  0.434  0.096  0.302
S  0.566  0.904  0.698
S  0.772  0.772  0.303
S  0.904  0.566  0.698

Output
**Space group**: C2/m

***

No. 5
Density functional theory data (PBE-GGA) for crystalline Rb2CaTlBi at its relaxed geometry.

abc: 7.226 7.226 5.903
angles: 90.00 90.00 90.00
Sites, in units of the cell vectors:
Rb  0.000  0.500  0.000
Rb  0.500  0.000  0.000
Ca  0.000  0.000  0.500
Tl  0.500  0.500  0.500
Bi  0.500  0.500  0.000

Output
**Space group**: P4/mmm
**Energy of formation**: 162 meV per atom

***

No. 6
Density functional theory data (PBE-GGA) for crystalline RbCa2VBi at its relaxed geometry.

abc: 6.058 6.058 5.180
angles: 90.00 90.00 90.00
Sites, in units of the cell vectors:
Rb  0.000  0.000  0.000
Ca  0.000  0.500  0.000
Ca  0.500  0.000  0.000
V  0.000  0.000  0.500
Bi  0.500  0.500  0.500

Output
**Space group**: P4/mmm
**Energy of formation**: 1290 meV per atom

***

No. 7
Density functional theory data (PBE-GGA) for crystalline CaReBi at its relaxed geometry.

abc: 4.771 4.771 4.771
angles: 60.00 60.00 60.00
Sites, in units of the cell vectors:
Ca  0.000  0.000  0.000
Re  0.250  0.250  0.250
Bi  0.500  0.500  0.500

Output
**Space group**: F-43m
**Energy of formation**: 748 meV per atom

***

No. 8
Density functional theory data (PBE-GGA) for crystalline CaReBi3 at its relaxed geometry.

abc: 5.432 5.432 5.432
angles: 90.00 90.00 90.00
Sites, in units of the cell vectors:
Ca  0.000  0.000  0.000
Re  0.500  0.500  0.500
Bi  0.000  0.500  0.500
Bi  0.500  0.000  0.500
Bi  0.500  0.500  0.000

Output
**Space group**: Pm-3m
**Energy of formation**: 495 meV per atom

***

No. 9
Density functional theory data (PBE-GGA) for crystalline CaReBi3 at its relaxed geometry.

abc: 5.578 5.578 5.578
angles: 90.00 90.00 90.00
Sites, in units of the cell vectors:
Ca  0.000  0.000  0.000
Re  0.500  0.500  0.500
Bi  0.000  0.000  0.500
Bi  0.000  0.500  0.000
Bi  0.500  0.000  0.000

Output
**Space group**: Pm-3m
**Energy of formation**: 1959 meV per atom

***

No. 10
Density functional theory data (PBE-GGA) for crystalline CaRe2Bi at its relaxed geometry.

abc: 6.376 6.376 6.376
angles: 100.70 100.70 128.96
Sites, in units of the cell vectors:
Ca  0.000  0.000  0.000
Ca  0.750  0.250  0.500
Re  0.162  0.625  0.037
Re  0.375  0.412  0.537
Re  0.588  0.125  0.963
Re  0.875  0.838  0.463
Bi  0.250  0.750  0.500
Bi  0.500  0.500  0.000

Output
**Space group**: I-42d
**Energy of formation**: 1462 meV per atom

***

No. 11
Density functional theory data (PBE-GGA) for crystalline Ca2ReSiBi at its relaxed geometry.

abc: 5.446 5.446 4.594
angles: 90.00 90.00 90.00
Sites, in units of the cell vectors:
Ca  0.000  0.500  0.000
Ca  0.500  0.000  0.000
Re  0.000  0.000  0.500
Si  0.000  0.000  0.000
Bi  0.500  0.500  0.500

Output
**Space group**: P4/mmm

***

No. 12
Density functional theory data (PBE-GGA) for crystalline CaReSi2Bi at its relaxed geometry.

abc: 4.703 4.703 5.729
angles: 90.00 90.00 90.00
Sites, in units of the cell vectors:
Ca  0.000  0.000  0.000
Re  0.000  0.000  0.500
Si  0.000  0.500  0.500
Si  0.500  0.000  0.500
Bi  0.500  0.500  0.000

Output
**Space group**: P4/mmm

***

No. 13
Density functional theory data (PBE-GGA) for crystalline CaBi2Rh2 at its relaxed geometry.

abc: 5.995 6.426 7.907
angles: 79.83 67.72 62.31
Sites, in units of the cell vectors:
Ca  0.125  0.250  0.250
Ca  0.875  0.750  0.750
Bi  0.178  0.143  0.750
Bi  0.429  0.643  0.250
Bi  0.571  0.357  0.750
Bi  0.822  0.857  0.250
Rh  0.277  0.750  0.949
Rh  0.474  0.750  0.552
Rh  0.526  0.250  0.448
Rh  0.723  0.250  0.051

Output
**Space group**: P-1
**Energy of formation**: -307 meV per atom

***

No. 14
Density functional theory data (PBE-GGA) for crystalline CaBi2Rh2 at its relaxed geometry.

abc: 7.888 7.888 3.567
angles: 90.00 90.00 90.00
Sites, in units of the cell vectors:
Ca  0.000  0.000  0.000
Ca  0.500  0.500  0.000
Bi  0.158  0.342  0.500
Bi  0.342  0.842  0.500
Bi  0.658  0.158  0.500
Bi  0.842  0.658  0.500
Rh  0.131  0.631  0.000
Rh  0.369  0.131  0.000
Rh  0.631  0.869  0.000
Rh  0.869  0.369  0.000

Output
**Space group**: P4/mbm
**Energy of formation**: -280 meV per atom

***

No. 15
Density functional theory data (PBE-GGA) for crystalline Ca2BiRh at its relaxed geometry.

abc: 6.745 6.745 6.745
angles: 100.91 100.91 128.41
Sites, in units of the cell vectors:
Ca  0.049  0.625  0.924
Ca  0.375  0.299  0.424
Ca  0.701  0.125  0.076
Ca  0.875  0.951  0.576
Bi  0.250  0.750  0.500
Bi  0.500  0.500  0.000
Rh  0.000  0.000  0.000
Rh  0.750  0.250  0.500

Output
**Space group**: I-42d
**Energy of formation**: -289 meV per atom

***

No. 16
Density functional theory data (PBE-GGA) for crystalline CaBi3Rh3 at its relaxed geometry.

abc: 7.436 7.436 7.436
angles: 90.00 90.00 90.00
Sites, in units of the cell vectors:
Ca  0.000  0.000  0.000
Ca  0.500  0.500  0.500
Bi  0.000  0.250  0.500
Bi  0.000  0.750  0.500
Bi  0.250  0.500  0.000
Bi  0.500  0.000  0.250
Bi  0.500  0.000  0.750
Bi  0.750  0.500  0.000
Rh  0.000  0.500  0.250
Rh  0.000  0.500  0.750
Rh  0.250  0.000  0.500
Rh  0.500  0.250  0.000
Rh  0.500  0.750  0.000
Rh  0.750  0.000  0.500

Output
**Space group**: Pm-3n
**Energy of formation**: 108 meV per atom

***

No. 17
Density functional theory data (PBE-GGA) for crystalline Ca4Bi6Rh7 at its relaxed geometry.

abc: 7.806 7.806 7.806
angles: 109.47 109.47 109.47
Sites, in units of the cell vectors:
Ca  0.000  0.000  0.500
Ca  0.000  0.500  0.000
Ca  0.500  0.000  0.000
Ca  0.500  0.500  0.500
Bi  0.000  0.316  0.316
Bi  0.000  0.684  0.684
Bi  0.316  0.000  0.316
Bi  0.316  0.316  0.000
Bi  0.684  0.000  0.684
Bi  0.684  0.684  0.000
Rh  0.000  0.000  0.000
Rh  0.250  0.500  0.750
Rh  0.250  0.750  0.500
Rh  0.500  0.250  0.750
Rh  0.500  0.750  0.250
Rh  0.750  0.250  0.500
Rh  0.750  0.500  0.250

Output
**Space group**: Im-3m
**Energy of formation**: -504 meV per atom

***

No. 18
Density functional theory data (PBE-GGA) for crystalline Ca2BiRh at its relaxed geometry.

abc: 3.451 3.451 8.508
angles: 90.00 90.00 90.00
Sites, in units of the cell vectors:
Ca  0.000  0.000  0.203
Ca  0.000  0.000  0.797
Bi  0.500  0.500  0.500
Rh  0.500  0.500  0.000

Output
**Space group**: P4/mmm
**Energy of formation**: -521 meV per atom

***

No. 19
Density functional theory data (PBE-GGA) for crystalline CaBiRh3 at its relaxed geometry.

abc: 4.992 4.992 4.992
angles: 90.00 90.00 90.00
Sites, in units of the cell vectors:
Ca  0.000  0.000  0.000
Bi  0.500  0.500  0.500
Rh  0.000  0.500  0.500
Rh  0.500  0.000  0.500
Rh  0.500  0.500  0.000

Output
**Space group**: Pm-3m
**Energy of formation**: 493 meV per atom

***

No. 20
Density functional theory data (PBE-GGA) for crystalline CaBi12Rh4 at its relaxed geometry.

abc: 8.523 8.523 8.523
angles: 109.47 109.47 109.47
Sites, in units of the cell vectors:
Ca  0.000  0.000  0.000
Bi  0.159  0.493  0.334
Bi  0.159  0.825  0.666
Bi  0.175  0.334  0.841
Bi  0.334  0.159  0.493
Bi  0.334  0.841  0.175
Bi  0.493  0.334  0.159
Bi  0.507  0.666  0.841
Bi  0.666  0.159  0.825
Bi  0.666  0.841  0.507
Bi  0.825  0.666  0.159
Bi  0.841  0.175  0.334
Bi  0.841  0.507  0.666
Rh  0.000  0.000  0.500
Rh  0.000  0.500  0.000
Rh  0.500  0.000  0.000
Rh  0.500  0.500  0.500

Output
**Space group**: Im-3
**Energy of formation**: -237 meV per atom

***

No. 21
Density functional theory data (PBE-GGA) for crystalline CaBiRh4 at its relaxed geometry.

abc: 5.354 5.354 5.354
angles: 60.00 60.00 60.00
Sites, in units of the cell vectors:
Ca  0.000  0.000  0.000
Bi  0.750  0.750  0.750
Rh  0.375  0.375  0.375
Rh  0.375  0.375  0.874
Rh  0.375  0.874  0.375
Rh  0.874  0.375  0.375

Output
**Space group**: F-43m
**Energy of formation**: -215 meV per atom

***

No. 22
Density functional theory data (PBE-GGA) for crystalline CaBi4Rh4 at its relaxed geometry.

abc: 9.045 9.045 5.484
angles: 90.00 90.00 90.00
Sites, in units of the cell vectors:
Ca  0.250  0.250  0.250
Ca  0.750  0.750  0.750
Bi  0.098  0.633  0.158
Bi  0.133  0.902  0.658
Bi  0.367  0.598  0.658
Bi  0.402  0.867  0.158
Bi  0.598  0.133  0.842
Bi  0.633  0.402  0.342
Bi  0.867  0.098  0.342
Bi  0.902  0.367  0.842
Rh  0.055  0.606  0.659
Rh  0.106  0.945  0.159
Rh  0.394  0.555  0.159
Rh  0.445  0.894  0.659
Rh  0.555  0.106  0.341
Rh  0.606  0.445  0.841
Rh  0.894  0.055  0.841
Rh  0.945  0.394  0.341

Output
**Space group**: P4_2/n
**Energy of formation**: -135 meV per atom

***

No. 23
Density functional theory data (PBE-GGA) for crystalline CaBi3Rh2 at its relaxed geometry.

abc: 4.420 8.610 7.530
angles: 90.00 90.00 90.00
Sites, in units of the cell vectors:
Ca  0.000  0.073  0.000
Ca  0.000  0.927  0.500
Bi  0.000  0.338  0.621
Bi  0.000  0.662  0.121
Bi  0.500  0.158  0.327
Bi  0.500  0.388  0.974
Bi  0.500  0.612  0.474
Bi  0.500  0.842  0.827
Rh  0.000  0.348  0.243
Rh  0.000  0.652  0.743
Rh  0.500  0.153  0.708
Rh  0.500  0.847  0.208

Output
**Space group**: Pmc2_1
**Energy of formation**: -323 meV per atom

***

No. 24
Density functional theory data (PBE-GGA) for crystalline Ca8Bi2Rh at its relaxed geometry.

abc: 9.934 9.934 7.201
angles: 106.97 106.97 31.75
Sites, in units of the cell vectors:
Ca  0.021  0.021  0.298
Ca  0.202  0.202  0.776
Ca  0.359  0.359  0.559
Ca  0.411  0.411  0.091
Ca  0.589  0.589  0.909
Ca  0.641  0.641  0.441
Ca  0.798  0.798  0.224
Ca  0.979  0.979  0.702
Bi  0.189  0.189  0.217
Bi  0.811  0.811  0.783
Rh  0.500  0.500  0.500

Output
**Space group**: C2/m
**Energy of formation**: -450 meV per atom

***

| no. | final energy (eV per formula unit) |
| --- | --- |
| 1 | -12.9 |
| 2 | -8.2 |
| 3 | -14.5 |
| 4 | -49.1 |
| 5 | -9.4 |
| 6 | -11.5 |
| 7 | -16.1 |
| 8 | -23.6 |
| 9 | -16.3 |
| 10 | -24.9 |
| 11 | -24.8 |
| 12 | -27.4 |
| 13 | -26.0 |
| 14 | -25.9 |
| 15 | -16.4 |
| 16 | -34.9 |
| 17 | -91.3 |
| 18 | -17.3 |
| 19 | -25.5 |
| 20 | -82.0 |
| 21 | -36.6 |
| 22 | -48.1 |
| 23 | -30.3 |
| 24 | -36.1 |